[1]
A plane-wave DFT calculation with PBE was carried out for an optimized crystal structure of Al5CuNi2.

abc: 5.341 10.070 3.990
angles: 90.00 90.00 90.00
Space group Pbam (No. 55)
Unique sites:
Al (0.000, 0.000, 0.000) x2
Al (0.109, 0.266, 0.000) x4
Al (0.177, 0.615, 0.500) x4
Cu (0.000, 0.500, 0.000) x2
Ni (0.152, 0.871, 0.500) x4

Output
Distance to the lowest polymorph of the same formula ... 0 meV/atom
DFT formation energy ... -0.30 eV/atom
Density ... 4.89 g/cm³
DOS(E_F) ... 4.2 states/eV per cell


[2]
A plane-wave DFT calculation with PBE was carried out for an optimized crystal structure of Al8CuNi2.

abc: 3.901 3.901 10.717
angles: 90.00 90.00 90.00
Space group P4/mmm (No. 123)
Unique sites:
Al (0.000, 0.000, 0.179) x2
Al (0.000, 0.500, 0.000) x2
Al (0.000, 0.500, 0.354) x4
Cu (0.500, 0.500, 0.500) x1
Ni (0.500, 0.500, 0.163) x2

Output
DFT formation energy ... -0.16 eV/atom
Density ... 4.04 g/cm³
DOS(E_F) ... 3.7 states/eV per cell